(1)
# Ac6Ni2PBr3 PBE optimized geometry
# magnetic moment	0.0	μB per formula unit
# uncorrected energy	-4.892	eV/atom
data_Ac6Ni2PBr3
_chemical_formula_sum 'Ac12 Ni4 P2 Br6'
_symmetry_space_group_name_H-M 'C 1 2/m 1'
_symmetry_Int_Tables_number 12
_cell_length_a 7.618
_cell_length_b 13.160
_cell_length_c 8.335
_cell_angle_alpha 90.00
_cell_angle_beta 107.71
_cell_angle_gamma 90.00
loop_
_symmetry_equiv_pos_as_xyz
'x,y,z'
'-x,-y,-z'
'-x,y,-z'
'x,-y,z'
'x+1/2,y+1/2,z'
'-x+1/2,-y+1/2,-z'
'-x+1/2,y+1/2,-z'
'x+1/2,-y+1/2,z'
loop_
_atom_site_label
_atom_site_type_symbol
_atom_site_fract_x
_atom_site_fract_y
_atom_site_fract_z
Ac1 Ac 0.222 0.000 0.199
Ac2 Ac 0.239 0.328 0.200
Ni1 Ni 0.000 0.167 0.000
P1 P 0.000 0.500 0.000
Br1 Br 0.000 0.000 0.500
Br2 Br 0.000 0.340 0.500

=====

(2)
# Ac8Ni3PBr4 PBE optimized geometry
# magnetic moment	0.0	μB per formula unit
# uncorrected energy	-4.849	eV/atom
data_Ac8Ni3PBr4
_chemical_formula_sum 'Ac24 Ni9 P3 Br12'
_symmetry_space_group_name_H-M 'R -3 m'
_symmetry_Int_Tables_number 166
_symmetry_space_group_name_Hall '-R 3 2"'
_cell_length_a 8.7266
_cell_length_b 8.7266
_cell_length_c 24.2183
_cell_angle_alpha 90.00
_cell_angle_beta 90.00
_cell_angle_gamma 120.00
loop_
_atom_site_label
_atom_site_type_symbol
_atom_site_fract_x
_atom_site_fract_y
_atom_site_fract_z
Ac1 Ac 0.0000 0.0000 0.2309
Ac2 Ac 0.0079 0.5040 0.7665
Ni1 Ni 0.0000 0.5000 0.5000
P1 P 0.0000 0.0000 0.5000
Br1 Br 0.0000 0.0000 0.0000
Br2 Br 0.0000 0.5000 0.0000

=====

(3)
# Ac6NiPd2Br3 PBE optimized geometry
# magnetic moment	0.0	μB per formula unit
# uncorrected energy	-4.824	eV/atom
data_Ac6NiPd2Br3
_chemical_formula_sum 'Ac12 Ni2 Pd4 Br6'
_symmetry_space_group_name_H-M 'C 1 2/m 1'
_symmetry_Int_Tables_number 12
_cell_length_a 20.832
_cell_length_b 4.432
_cell_length_c 9.704
_cell_angle_alpha 90.00
_cell_angle_beta 110.61
_cell_angle_gamma 90.00
loop_
_symmetry_equiv_pos_as_xyz
'x,y,z'
'-x,-y,-z'
'-x,y,-z'
'x,-y,z'
'x+1/2,y+1/2,z'
'-x+1/2,-y+1/2,-z'
'-x+1/2,y+1/2,-z'
'x+1/2,-y+1/2,z'
loop_
_atom_site_label
_atom_site_type_symbol
_atom_site_fract_x
_atom_site_fract_y
_atom_site_fract_z
Ac1 Ac 0.010 0.000 0.212
Ac2 Ac 0.150 0.500 0.107
Ac3 Ac 0.178 0.500 0.556
Ni1 Ni 0.000 0.500 0.000
Pd1 Pd 0.167 0.000 0.334
Br1 Br 0.000 0.500 0.500
Br2 Br 0.166 0.000 0.834

=====

(4)
# Ac6Ni2PdBr3 PBE optimized geometry
# magnetic moment	0.0	μB per formula unit
# uncorrected energy	-4.792	eV/atom
data_Ac6Ni2PdBr3
_chemical_formula_sum 'Ac12 Ni4 Pd2 Br6'
_symmetry_space_group_name_H-M 'C 1 2/m 1'
_symmetry_Int_Tables_number 12
_cell_length_a 20.705
_cell_length_b 4.394
_cell_length_c 9.660
_cell_angle_alpha 90.00
_cell_angle_beta 111.18
_cell_angle_gamma 90.00
loop_
_symmetry_equiv_pos_as_xyz
'x,y,z'
'-x,-y,-z'
'-x,y,-z'
'x,-y,z'
'x+1/2,y+1/2,z'
'-x+1/2,-y+1/2,-z'
'-x+1/2,y+1/2,-z'
'x+1/2,-y+1/2,z'
loop_
_atom_site_label
_atom_site_type_symbol
_atom_site_fract_x
_atom_site_fract_y
_atom_site_fract_z
Ac1 Ac 0.016 0.000 0.228
Ac2 Ac 0.157 0.500 0.120
Ac3 Ac 0.181 0.500 0.550
Ni1 Ni 0.167 0.000 0.334
Pd1 Pd 0.000 0.500 0.000
Br1 Br 0.000 0.500 0.500
Br2 Br 0.166 0.000 0.832

=====

(5)
# AcPrNiBr PBE optimized geometry
# magnetic moment	0.0	μB per formula unit
# uncorrected energy	-4.885	eV/atom
data_AcPrNiBr
_chemical_formula_sum 'Ac3 Pr3 Ni3 Br3'
_symmetry_space_group_name_H-M 'R 3 m'
_symmetry_Int_Tables_number 160
_symmetry_space_group_name_Hall 'R 3 -2"'
_cell_length_a 4.2021
_cell_length_b 4.2021
_cell_length_c 24.1930
_cell_angle_alpha 90.00
_cell_angle_beta 90.00
_cell_angle_gamma 120.00
loop_
_atom_site_label
_atom_site_type_symbol
_atom_site_fract_x
_atom_site_fract_y
_atom_site_fract_z
Ac1 Ac 0.0000 0.0000 0.0000
Pr1 Pr 0.0000 0.0000 0.7946
Ni1 Ni 0.0000 0.0000 0.4002
Br1 Br 0.0000 0.0000 0.2251

=====

(6)
# Ac6NiPt2Br3 PBE optimized geometry
# magnetic moment	0.0	μB per formula unit
# uncorrected energy	-5.137	eV/atom
data_Ac6NiPt2Br3
_chemical_formula_sum 'Ac12 Ni2 Pt4 Br6'
_symmetry_space_group_name_H-M 'C 1 2/m 1'
_symmetry_Int_Tables_number 12
_cell_length_a 20.788
_cell_length_b 4.438
_cell_length_c 9.674
_cell_angle_alpha 90.00
_cell_angle_beta 110.63
_cell_angle_gamma 90.00
loop_
_symmetry_equiv_pos_as_xyz
'x,y,z'
'-x,-y,-z'
'-x,y,-z'
'x,-y,z'
'x+1/2,y+1/2,z'
'-x+1/2,-y+1/2,-z'
'-x+1/2,y+1/2,-z'
'x+1/2,-y+1/2,z'
loop_
_atom_site_label
_atom_site_type_symbol
_atom_site_fract_x
_atom_site_fract_y
_atom_site_fract_z
Ac1 Ac 0.011 0.000 0.214
Ac2 Ac 0.151 0.500 0.109
Ac3 Ac 0.178 0.500 0.554
Ni1 Ni 0.000 0.500 0.000
Pt1 Pt 0.166 0.000 0.332
Br1 Br 0.000 0.500 0.500
Br2 Br 0.166 0.000 0.833

=====

(7)
# Ac6NiRh2Br3 PBE optimized geometry
# magnetic moment	0.0	μB per formula unit
# uncorrected energy	-5.239	eV/atom
data_Ac6NiRh2Br3
_chemical_formula_sum 'Ac12 Ni2 Rh4 Br6'
_symmetry_space_group_name_H-M 'C 1 2/m 1'
_symmetry_Int_Tables_number 12
_cell_length_a 20.790
_cell_length_b 4.338
_cell_length_c 9.685
_cell_angle_alpha 90.00
_cell_angle_beta 111.86
_cell_angle_gamma 90.00
loop_
_symmetry_equiv_pos_as_xyz
'x,y,z'
'-x,-y,-z'
'-x,y,-z'
'x,-y,z'
'x+1/2,y+1/2,z'
'-x+1/2,-y+1/2,-z'
'-x+1/2,y+1/2,-z'
'x+1/2,-y+1/2,z'
loop_
_atom_site_label
_atom_site_type_symbol
_atom_site_fract_x
_atom_site_fract_y
_atom_site_fract_z
Ac1 Ac 0.012 0.000 0.216
Ac2 Ac 0.154 0.500 0.114
Ac3 Ac 0.179 0.500 0.552
Ni1 Ni 0.000 0.500 0.000
Rh1 Rh 0.166 0.000 0.331
Br1 Br 0.000 0.500 0.500
Br2 Br 0.167 0.000 0.834

=====

(8)
# Ac4NiRhBr2 PBE optimized geometry
# magnetic moment	0.0	μB per formula unit
# uncorrected energy	-5.123	eV/atom
data_Ac4NiRhBr2
_chemical_formula_sum 'Ac4 Ni1 Rh1 Br2'
_symmetry_space_group_name_H-M 'P 1 2/m 1'
_symmetry_Int_Tables_number 10
_cell_length_a 7.526
_cell_length_b 4.321
_cell_length_c 8.662
_cell_angle_alpha 90.00
_cell_angle_beta 106.98
_cell_angle_gamma 90.00
loop_
_symmetry_equiv_pos_as_xyz
'x,y,z'
'-x,-y,-z'
'-x,y,-z'
'x,-y,z'
loop_
_atom_site_label
_atom_site_type_symbol
_atom_site_fract_x
_atom_site_fract_y
_atom_site_fract_z
Ac1 Ac 0.229 0.000 0.191
Ac2 Ac 0.268 0.500 0.806
Ni1 Ni 0.000 0.500 0.000
Rh1 Rh 0.500 0.000 0.000
Br1 Br 0.000 0.000 0.500
Br2 Br 0.500 0.500 0.500

=====

(9)
# Ac6NiRh2Br2 PBE optimized geometry
# magnetic moment	0.0	μB per formula unit
# uncorrected energy	-5.265	eV/atom
data_Ac6NiRh2Br2
_chemical_formula_sum 'Ac12 Ni2 Rh4 Br4'
_symmetry_space_group_name_H-M 'C 1 2/m 1'
_symmetry_Int_Tables_number 12
_cell_length_a 7.552
_cell_length_b 13.052
_cell_length_c 8.418
_cell_angle_alpha 90.00
_cell_angle_beta 107.35
_cell_angle_gamma 90.00
loop_
_symmetry_equiv_pos_as_xyz
'x,y,z'
'-x,-y,-z'
'-x,y,-z'
'x,-y,z'
'x+1/2,y+1/2,z'
'-x+1/2,-y+1/2,-z'
'-x+1/2,y+1/2,-z'
'x+1/2,-y+1/2,z'
loop_
_atom_site_label
_atom_site_type_symbol
_atom_site_fract_x
_atom_site_fract_y
_atom_site_fract_z
Ac1 Ac 0.230 0.000 0.198
Ac2 Ac 0.235 0.336 0.198
Ni1 Ni 0.000 0.500 0.000
Rh1 Rh 0.000 0.170 0.000
Br1 Br 0.000 0.334 0.500

=====

(10)
# Ac8Ni3RuBr4 PBE optimized geometry
# magnetic moment	0.0	μB per formula unit
# uncorrected energy	-5.006	eV/atom
data_Ac8Ni3RuBr4
_chemical_formula_sum 'Ac24 Ni9 Ru3 Br12'
_symmetry_space_group_name_H-M 'R -3 m'
_symmetry_Int_Tables_number 166
_symmetry_space_group_name_Hall '-R 3 2"'
_cell_length_a 8.6193
_cell_length_b 8.6193
_cell_length_c 24.7990
_cell_angle_alpha 90.00
_cell_angle_beta 90.00
_cell_angle_gamma 120.00
loop_
_atom_site_label
_atom_site_type_symbol
_atom_site_fract_x
_atom_site_fract_y
_atom_site_fract_z
Ac1 Ac 0.0000 0.0000 0.2305
Ac2 Ac 0.0020 0.5010 0.2312
Ni1 Ni 0.0000 0.5000 0.5000
Ru1 Ru 0.0000 0.0000 0.5000
Br1 Br 0.0000 0.0000 0.0000
Br2 Br 0.0000 0.5000 0.0000

=====

(11)
# Ac4NiRuBr2 PBE optimized geometry
# magnetic moment	0.0	μB per formula unit
# uncorrected energy	-5.235	eV/atom
data_Ac4NiRuBr2
_chemical_formula_sum 'Ac4 Ni1 Ru1 Br2'
_symmetry_space_group_name_H-M 'P 1 2/m 1'
_symmetry_Int_Tables_number 10
_cell_length_a 7.421
_cell_length_b 4.304
_cell_length_c 8.673
_cell_angle_alpha 90.00
_cell_angle_beta 106.58
_cell_angle_gamma 90.00
loop_
_symmetry_equiv_pos_as_xyz
'x,y,z'
'-x,-y,-z'
'-x,y,-z'
'x,-y,z'
loop_
_atom_site_label
_atom_site_type_symbol
_atom_site_fract_x
_atom_site_fract_y
_atom_site_fract_z
Ac1 Ac 0.228 0.000 0.197
Ac2 Ac 0.267 0.500 0.809
Ni1 Ni 0.500 0.000 0.000
Ru1 Ru 0.000 0.500 0.000
Br1 Br 0.000 0.000 0.500
Br2 Br 0.500 0.500 0.500

=====

(12)
# Ac8NiRu3Br4 PBE optimized geometry
# magnetic moment	0.0	μB per formula unit
# uncorrected energy	-5.448	eV/atom
data_Ac8NiRu3Br4
_chemical_formula_sum 'Ac16 Ni2 Ru6 Br8'
_symmetry_space_group_name_H-M 'C 1 2/m 1'
_symmetry_Int_Tables_number 12
_cell_length_a 14.866
_cell_length_b 8.583
_cell_length_c 9.698
_cell_angle_alpha 90.00
_cell_angle_beta 120.73
_cell_angle_gamma 90.00
loop_
_symmetry_equiv_pos_as_xyz
'x,y,z'
'-x,-y,-z'
'-x,y,-z'
'x,-y,z'
'x+1/2,y+1/2,z'
'-x+1/2,-y+1/2,-z'
'-x+1/2,y+1/2,-z'
'x+1/2,-y+1/2,z'
loop_
_atom_site_label
_atom_site_type_symbol
_atom_site_fract_x
_atom_site_fract_y
_atom_site_fract_z
Ac1 Ac 0.019 0.247 0.307
Ac2 Ac 0.233 0.000 0.696
Ac3 Ac 0.234 0.500 0.693
Ni1 Ni 0.000 0.500 0.500
Ru1 Ru 0.000 0.000 0.500
Ru2 Ru 0.250 0.250 0.500
Br1 Br 0.000 0.000 0.000
Br2 Br 0.000 0.500 0.000
Br3 Br 0.250 0.250 0.000

=====

| no. | mass density (Mg/m³) |
| --- | --- |
| 1 | 7.30 |
| 2 | 7.31 |
| 3 | 7.42 |
| 4 | 7.40 |
| 5 | 6.82 |
| 6 | 8.15 |
| 7 | 7.65 |
| 8 | 7.58 |
| 9 | 7.49 |
| 10 | 7.53 |
| 11 | 7.68 |
| 12 | 7.80 |